6
Lattice="-2.594 0.108 4.339 -5.051 -0.209 -0.069 -2.381 -4.153 1.626" Properties=species:S:1:pos:R:3 comment="ErThCo4 | Alexandria | PBE-GGA | relaxed" magnetic_moment_mub_per_fu=0.001 space_group="No. 216" ef_ev_per_atom=-0.209 energy_ev_per_atom=-6.944 volume_a3_per_cell=91.4 pbc="T T T"
Co -5.076 -0.574 2.871
Co -3.734 -2.556 3.723
Co -6.273 -2.661 3.689
Co -4.969 -2.716 1.508
Th -2.507 -1.063 1.474
Er 0.000 0.000 0.000



11
Lattice="4.808 0.000 0.000 0.000 4.808 0.000 -2.404 -2.404 17.125" Properties=species:S:1:pos:R:3 comment="Nd6Sm3Y2 | Alexandria | PBE-GGA | relaxed" magnetic_moment_mub_per_fu=0.000 space_group="No. 139" ef_ev_per_atom=0.278 energy_ev_per_atom=-4.785 e_above_lowest_polymorph_mev_per_atom=267.2 volume_a3_per_cell=395.9 pbc="T T T"
Nd 0.000 2.404 4.134
Nd 2.404 0.000 4.134
Nd 2.404 0.000 12.992
Nd 0.000 2.404 12.992
Nd 2.404 2.404 6.968
Nd 0.000 0.000 10.158
Sm 0.000 0.000 0.000
Sm 2.404 2.404 10.395
Sm 0.000 0.000 6.731
Y 0.000 0.000 15.571
Y 2.404 2.404 1.555



12
Lattice="-1.740 6.020 -1.048 1.769 -3.689 -4.861 -6.037 -2.653 1.199" Properties=species:S:1:pos:R:3 comment="Li3Zr2PaS6 | Alexandria | PBE-GGA | relaxed" magnetic_moment_mub_per_fu=0.000 space_group="No. 12" raw_formation_energy_ev_per_atom=-1.5228 energy_ev_per_atom=-6.281 volume_a3_per_cell=222.3 pbc="T T T"
Li -1.838 -3.388 -3.622
Li -4.170 3.066 -1.088
Li -3.004 -0.161 -2.355
Zr 0.599 -0.451 -3.589
Zr -0.570 2.782 -2.320
Pa 0.000 0.000 0.000
S -5.075 1.406 -2.867
S -1.515 1.064 -4.103
S -0.933 -1.728 -1.843
S -3.886 -1.885 -4.160
S -4.493 -1.386 -0.607
S -2.122 1.563 -0.550



8
Lattice="-5.650 6.325 -10.407 -11.764 -5.802 2.861 -9.335 2.321 -2.180" Properties=species:S:1:pos:R:3 comment="Rb2SiPb | Alexandria | PBE-GGA | relaxed" magnetic_moment_mub_per_fu=0.000 space_group="No. 122" raw_formation_energy_ev_per_atom=0.2247 energy_ev_per_atom=-2.542 e_above_lowest_polymorph_mev_per_atom=0.0 volume_a3_per_cell=482.7 pbc="T T T"
Pb 0.000 0.000 0.000
Pb -11.846 4.454 -8.180
Si -8.707 0.262 -3.773
Si -14.903 -1.610 -1.546
Rb -6.242 2.584 -4.678
Rb -11.486 -1.031 -2.072
Rb -15.809 0.814 -3.911
Rb -19.962 3.321 -8.792